VASP calculation (GGA+U) on a relaxed structure of Li2CrO3.

energy = -6.18 eV/atom
space group = No. 52

a = 5.0087 Å, b = 4.9531 Å, c = 8.3847 Å
α = 90.00°, β = 90.00°, γ = 90.00°
Last column: nearest neighbours and their distance in Å.
Fractional coordinates of all 24 atoms:
Li 0.2500 0.0000 0.0752  6 O 2.04-2.17
Li 0.2500 0.0000 0.7633  6 O 2.11-2.19
Li 0.2500 0.5000 0.4248  6 O 2.04-2.17
Li 0.2500 0.5000 0.7367  6 O 2.11-2.19
Li 0.7500 0.0000 0.2367  6 O 2.11-2.19
Li 0.7500 0.0000 0.9248  6 O 2.04-2.17
Li 0.7500 0.5000 0.2633  6 O 2.11-2.19
Li 0.7500 0.5000 0.5752  6 O 2.04-2.17
Cr 0.2500 0.0000 0.4132  6 O 1.91-1.99
Cr 0.2500 0.5000 0.0868  6 O 1.91-1.99
Cr 0.7500 0.0000 0.5868  6 O 1.91-1.99
Cr 0.7500 0.5000 0.9132  6 O 1.91-1.99
O 0.0826 0.2182 0.5725  2 Cr 1.91-1.99, 3 Li 2.05-2.13
O 0.0826 0.2818 0.9275  2 Cr 1.91-1.99, 3 Li 2.05-2.13
O 0.1103 0.2500 0.2500  2 Cr 1.97, 4 Li 2.04-2.19
O 0.3897 0.7500 0.2500  2 Cr 1.97, 4 Li 2.04-2.19
O 0.4174 0.7182 0.9275  2 Cr 1.91-1.99, 3 Li 2.05-2.13
O 0.4174 0.7818 0.5725  2 Cr 1.91-1.99, 3 Li 2.05-2.13
O 0.5826 0.2182 0.4275  2 Cr 1.91-1.99, 3 Li 2.05-2.13
O 0.5826 0.2818 0.0725  2 Cr 1.91-1.99, 3 Li 2.05-2.13
O 0.6103 0.2500 0.7500  2 Cr 1.97, 4 Li 2.04-2.19
O 0.8897 0.7500 0.7500  2 Cr 1.97, 4 Li 2.04-2.19
O 0.9174 0.7182 0.0725  2 Cr 1.91-1.99, 3 Li 2.05-2.13
O 0.9174 0.7818 0.4275  2 Cr 1.91-1.99, 3 Li 2.05-2.13